Material: Ac2TlIn4Pd3
Method: DFT, PBE
State: relaxed

Cell: 4.6860 4.6860 11.5297 Å, 90.00 90.00 90.00°
Last column: nearest neighbours and their distance in Å.
Fractional positions:
1 Ac 0.5000 0.0000 0.2427  8 In 3.56-3.65, 6 Pd 3.57-3.78, 2 Tl 3.78
2 Ac 0.0000 0.5000 0.7573  8 In 3.56-3.65, 6 Pd 3.57-3.78, 2 Tl 3.78
3 In 0.0000 0.0000 0.0000  4 Pd 2.76
4 In 0.0000 0.5000 0.3564  3 Pd 2.65-2.87, 2 Tl 2.87
5 In 0.5000 0.0000 0.6436  3 Pd 2.65-2.87, 2 Tl 2.87
6 In 0.5000 0.5000 0.0000  4 Pd 2.76
7 Tl 0.5000 0.5000 0.5000  4 In 2.87
8 Pd 0.0000 0.0000 0.5000  4 In 2.87
9 Pd 0.0000 0.5000 0.1267  5 In 2.65-2.76
10 Pd 0.5000 0.0000 0.8733  5 In 2.65-2.76

crystal system = tetragonal
VASP energy = -4.26 eV/atom
formation energy = -528 kJ/mol of formula units
volume = 25.32 Å³ per atom
total moment = 0.00 Bohr magnetons per cell
space-group type = P-4m2